# Dy8Te3AsS3

Dy8Te3AsS3 after structural relaxation (PBE, Alexandria). Values from VASP.

Spin magnetization   0.00 μB per formula unit
SG   No. 166
Formation energy (no corrections)   -1513 meV/atom

```
&SYSTEM
  ibrav = 0, nat = 15, ntyp = 4
/
ATOMIC_SPECIES
Dy 162.50 Dy.upf
Te 127.60 Te.upf
As 74.92 As.upf
S 32.06 S.upf
ATOMIC_POSITIONS angstrom
Dy -2.091 -1.207 11.851
Dy 0.000 0.000 4.841
Dy 0.000 -2.414 8.862
Dy -2.091 1.207 8.862
Dy 2.091 -1.207 11.851
Dy 0.000 2.414 11.851
Dy 0.000 0.000 15.872
Dy 2.091 1.207 8.862
Te -2.026 -1.170 6.904
Te -2.026 1.170 13.808
Te 0.000 2.340 6.904
As 0.000 0.000 10.356
S -4.053 0.000 10.356
S -2.026 1.170 3.452
S 2.026 1.170 3.452
CELL_PARAMETERS angstrom
4.053 2.340 6.904
-4.053 2.340 6.904
0.000 -4.680 6.904
```

---

# Dy4Te2AsS

Dy4Te2AsS after structural relaxation (PBE, Alexandria). Values from VASP.

Spin magnetization   0.00 μB per formula unit
SG   No. 10
Formation energy (no corrections)   -1574 meV/atom

```
&SYSTEM
  ibrav = 0, nat = 8, ntyp = 4
/
ATOMIC_SPECIES
Dy 162.50 Dy.upf
Te 127.60 Te.upf
As 74.92 As.upf
S 32.06 S.upf
ATOMIC_POSITIONS angstrom
Dy 1.149 0.000 1.464
Dy -0.046 2.067 5.546
Dy 4.790 2.067 1.495
Dy 3.594 0.000 5.576
Te -1.197 0.000 3.520
Te 2.372 2.067 3.520
As 3.569 0.000 0.000
S 0.000 2.067 0.000
CELL_PARAMETERS angstrom
7.138 0.000 0.000
0.000 4.135 0.000
-2.394 0.000 7.041
```

---

# Dy6TeAs2S3

Dy6TeAs2S3 after structural relaxation (PBE, Alexandria). Values from VASP.

Spin magnetization   0.00 μB per formula unit
SG   No. 12
Formation energy (no corrections)   -1733 meV/atom

```
&SYSTEM
  ibrav = 0, nat = 12, ntyp = 4
/
ATOMIC_SPECIES
Dy 162.50 Dy.upf
Te 127.60 Te.upf
As 74.92 As.upf
S 32.06 S.upf
ATOMIC_POSITIONS angstrom
Dy 17.256 0.000 1.748
Dy -1.430 0.000 6.184
Dy 4.949 0.000 3.258
Dy 4.212 0.000 7.269
Dy 11.614 0.000 0.663
Dy 10.878 0.000 4.674
Te 7.913 0.000 3.966
As 1.415 0.000 6.600
As 14.412 0.000 1.333
S 2.272 0.000 2.639
S 8.831 0.000 0.000
S 13.554 0.000 5.293
CELL_PARAMETERS angstrom
8.831 -2.022 0.000
8.831 2.022 0.000
-1.836 0.000 7.932
```